This record from the Alexandria database describes a relaxed CoRe2W crystal. The functional is GGA-PBE.

abc: 3.1669 3.1669 5.7034
angles: 90.00 90.00 90.00
Sites, in units of the cell vectors:
Co (0.0000, 0.0000, 0.0000)
Re (0.0000, 0.0000, 0.5159)
Re (0.5000, 0.5000, 0.2601)
W (0.5000, 0.5000, 0.8087)

## Properties
Distance to the lowest polymorph of the same formula = 113 meV/atom
Size of the total moment = 0.00 μB/f.u.
DFT formation energy = 0.16 eV/atom
Density = 17.86 g cm⁻³